a | The following is a PBE-GGA calculation of a relaxed CrFeTe crystal, from the Alexandria database.

Results
magnetic moment	1.862	μB/f.u.
volume	17.46	Å³/atom

Cell: 4.2194 4.2194 3.3971 Å, 90.00 90.00 120.00°
Space group P-6m2 (No. 187)
Unique sites:
Cr 0.0000 0.0000 0.0000
Fe 0.3333 0.6667 0.5000
Te 0.6667 0.3333 0.5000

***

b | The following is a PBE-GGA calculation of a relaxed CrFeTe crystal, from the Alexandria database.

Results
magnetic moment	1.186	μB/f.u.
volume	17.16	Å³/atom

Cell: 5.906 5.906 5.906 Å, 90.00 90.00 90.00°
Space group F-43m (No. 216)
Unique sites:
Cr 0.000 0.000 0.000
Fe 0.250 0.250 0.750
Te 0.250 0.250 0.250

***

c | The following is a PBE-GGA calculation of a relaxed CrFeTe crystal, from the Alexandria database.

Results
magnetic moment	2.000	μB/f.u.
volume	16.79	Å³/atom

Cell: 5.862 5.862 5.862 Å, 90.00 90.00 90.00°
Space group F-43m (No. 216)
Unique sites:
Cr 0.000 0.000 0.000
Fe 0.250 0.250 0.750
Te 0.000 0.000 0.500

***

d | The following is a PBE-GGA calculation of a relaxed CrFeTe crystal, from the Alexandria database.

Results
magnetic moment	5.357	μB/f.u.
volume	16.08	Å³/atom

Cell: 3.442 3.442 8.142 Å, 90.00 90.00 90.00°
Space group I4mm (No. 107)
Unique sites:
Cr 0.000 0.000 0.000
Fe 0.000 0.000 0.339
Te 0.000 0.000 0.666

***

Least stable = a